## ThZnPt4 (PBE-GGA)

Data for ThZnPt4 after structural relaxation.

M_tot = 0.0 μB per cell
ΔE_f = -715 meV per atom

Lattice parameters (Å, degrees): 5.704 4.791 9.058 90.00 90.00 117.15
Fractional coordinates of all 12 atoms:
Pt  0.673  0.581  0.615
Pt  0.782  0.965  0.092
Pt  0.327  0.419  0.385
Pt  0.218  0.535  0.092
Pt  0.782  0.465  0.908
Pt  0.327  0.919  0.615
Pt  0.218  0.035  0.908
Pt  0.673  0.081  0.385
Zn  0.500  0.750  0.854
Zn  0.500  0.250  0.146
Th  0.000  0.750  0.326
Th  0.000  0.250  0.674

## Li2LaMgTl4 (PBE-GGA)

Data for Li2LaMgTl4 after structural relaxation.

M_tot = 0.0 μB per cell
ΔE_f = -244 meV per atom

Lattice parameters (Å, degrees): 4.949 4.949 9.918 75.55 75.55 60.00
Fractional coordinates of all 8 atoms:
Tl  0.608  0.608  0.176
Tl  0.877  0.877  0.370
Tl  0.123  0.123  0.630
Tl  0.392  0.392  0.824
Li  0.237  0.237  0.289
Li  0.763  0.763  0.711
La  0.000  0.000  0.000
Mg  0.500  0.500  0.500

## AgSbHRh2 (PBE-GGA)

Data for AgSbHRh2 after structural relaxation.

M_tot = 0.0 μB per cell
relative energy among the computed polymorphs = 0.00 eV per formula unit

Lattice parameters (Å, degrees): 4.161 4.161 3.970 90.00 90.00 90.00
Fractional coordinates of all 5 atoms:
H  0.000  0.000  0.000
Rh  0.000  0.500  0.000
Rh  0.500  0.000  0.000
Sb  0.500  0.500  0.500
Ag  0.000  0.000  0.500

## Cs2Sn2Bi2Au (PBE-GGA)

Data for Cs2Sn2Bi2Au after structural relaxation.

M_tot = 0.0 μB per cell
ΔE_f = -297 meV per atom

Lattice parameters (Å, degrees): 5.553 7.433 9.430 55.83 89.97 68.05
Fractional coordinates of all 7 atoms:
Cs  0.435  0.130  0.179
Cs  0.565  0.870  0.821
Au  0.000  0.000  0.000
Sn  0.212  0.576  0.335
Sn  0.788  0.424  0.665
Bi  0.843  0.314  0.399
Bi  0.157  0.686  0.601

## LiTa2Sb (PBE-GGA)

Data for LiTa2Sb after structural relaxation.

uncorrected formation energy = 55.6 kJ per mole of atoms
M_tot = 0.0 μB per cell

Lattice parameters (Å, degrees): 3.057 3.057 7.640 90.00 90.00 90.00
Fractional coordinates of all 4 atoms:
Li  0.500  0.500  0.250
Ta  0.000  0.000  0.465
Ta  0.000  0.000  0.035
Sb  0.500  0.500  0.750

## SrInAg2Sn (PBE-GGA)

Data for SrInAg2Sn after structural relaxation.

M_tot = 0.0 μB per cell
ΔE_f = -305 meV per atom

Lattice parameters (Å, degrees): 4.562 4.621 6.995 109.29 109.03 90.00
Fractional coordinates of all 5 atoms:
Ag  0.054  0.054  0.107
Ag  0.698  0.198  0.396
In  0.183  0.683  0.366
Sn  0.832  0.832  0.665
Sr  0.445  0.445  0.891

Question: What is the M_tot in the second record?
Answer: 0.0 μB per cell